(1)
SrPu2O7: relaxed, GGA-PBE.

Lattice parameters (Å, degrees): 3.8757 3.8757 10.6233 79.49 79.49 60.00
Atoms (fractional coordinates):
Pu  0.0657  0.0657  0.8030
Pu  0.9343  0.9343  0.1970
O  0.5849  0.5849  0.2452
O  0.1298  0.1298  0.6107
O  0.0000  0.0000  0.0000
O  0.4151  0.4151  0.7548
O  0.7204  0.7204  0.8388
Sr  0.5000  0.5000  0.5000
O  0.2796  0.2796  0.1612
O  0.8702  0.8702  0.3893

Calculated values
Total energy (eV per cell): -90.5
Formation energy (no corrections) (eV per atom): -2.544

(2)
Y4RhSeS2: relaxed, GGA-PBE.

Lattice parameters (Å, degrees): 3.9484 6.9920 7.0014 71.18 90.00 90.00
Atoms (fractional coordinates):
Se  0.0000  0.5000  0.5000
Y  0.5000  0.2426  0.7636
S  0.5000  0.0000  0.5000
Y  0.5000  0.7574  0.2364
Y  0.0000  0.2537  0.2373
Rh  0.5000  0.5000  0.0000
Y  0.0000  0.7463  0.7627
S  0.0000  0.0000  0.0000

Calculated values
Total energy (eV per cell): -57.7
Formation energy (no corrections) (eV per atom): -1.595

(3)
FeCuAu2: relaxed, GGA-PBE.

Lattice parameters (Å, degrees): 9.1180 9.1180 9.1180 17.86 17.86 17.86
Atoms (fractional coordinates):
Fe  0.7553  0.7553  0.7553
Au  0.2435  0.2435  0.2435
Au  0.0064  0.0064  0.0064
Cu  0.4947  0.4947  0.4947

Calculated values
Total energy (eV per cell): -18.4
ΔE_f (eV/atom): 0.178

(4)
Pu2PaRuC4: relaxed, GGA-PBE.

Lattice parameters (Å, degrees): 3.4486 6.0599 11.6776 90.00 90.00 106.53
Atoms (fractional coordinates):
Pu  0.3677  0.7354  0.5467
Pu  0.6323  0.2646  0.0467
C  0.0000  0.0000  0.5000
C  0.7290  0.4580  0.6308
C  0.5431  0.0861  0.2500
Pa  0.8883  0.7765  0.2500
C  0.2710  0.5420  0.3692
Pu  0.3677  0.7354  0.9533
C  0.4569  0.9139  0.7500
Ru  0.8542  0.7084  0.7500
Pu  0.6323  0.2646  0.4533
C  0.2710  0.5420  0.1308
Pa  0.1117  0.2235  0.7500
Ru  0.1458  0.2916  0.2500
C  0.7290  0.4580  0.8692
C  0.0000  0.0000  0.0000

Calculated values
Total energy (eV per cell): -167.8
ΔE_f (eV/atom): 0.055

(5)
ReAsSeBr2: relaxed, GGA-PBE.

Lattice parameters (Å, degrees): 5.2100 5.2100 5.3029 90.00 90.00 90.00
Atoms (fractional coordinates):
Br  0.5000  0.0000  0.0000
As  0.0000  0.0000  0.0000
Br  0.0000  0.5000  0.0000
Re  0.5000  0.5000  0.5000
Se  0.0000  0.0000  0.5000

Calculated values
Total energy (eV per cell): -17.9
Formation energy (no corrections) (eV per atom): 1.201
Energy relative to the lowest polymorph listed for this composition (eV per atom): 0.482

(6)
Li3ThSc4Se8: relaxed, GGA-PBE.

Lattice parameters (Å, degrees): 7.8154 7.9461 7.8155 119.46 120.00 90.00
Atoms (fractional coordinates):
Se  0.2585  0.7589  0.5169
Li  0.0000  0.5000  0.5000
Li  0.5000  0.5000  0.0000
Se  0.7415  0.2411  0.4831
Se  0.2467  0.2401  0.4934
Se  0.7533  0.7599  0.5066
Sc  0.5000  0.0000  0.0000
Th  0.0000  0.5000  0.0000
Li  0.5000  0.5000  0.5000
Sc  0.0000  0.0000  0.0000
Se  0.7420  0.7589  0.0004
Se  0.2585  0.7589  0.0004
Sc  0.5000  0.0000  0.5000
Se  0.2580  0.2411  0.9996
Sc  0.0000  0.0000  0.5000
Se  0.7415  0.2411  0.9996

Calculated values
Total energy (eV per cell): -91.8
Formation energy (no corrections) (eV per atom): -1.589

(7)
HPb2CS: relaxed, GGA-PBE.

Lattice parameters (Å, degrees): 5.5732 3.6539 5.5732 90.00 90.00 90.00
Atoms (fractional coordinates):
Pb  0.5000  0.0000  0.0000
C  0.0000  0.5000  0.0000
S  0.0000  0.0000  0.0000
Pb  0.0000  0.0000  0.5000
H  0.5000  0.5000  0.5000

Calculated values
Total energy (eV per cell): -17.7

(8)
ZrVZn2Cd: relaxed, GGA-PBE.

Lattice parameters (Å, degrees): 4.6824 5.3683 4.6824 90.00 90.00 90.00
Atoms (fractional coordinates):
Cd  0.0000  0.0000  0.0000
Zn  0.5000  0.0000  0.0000
Zn  0.0000  0.0000  0.5000
Zr  0.0000  0.5000  0.0000
V  0.5000  0.5000  0.5000

Calculated values
Total energy (eV per cell): -14.9
ΔE_f (eV/atom): 1.250

(9)
Pr4Sm5Ag: relaxed, GGA-PBE.

Lattice parameters (Å, degrees): 3.6783 3.6783 24.5250 90.00 90.00 90.00
Atoms (fractional coordinates):
Pr  0.0000  0.0000  0.6056
Pr  0.0000  0.0000  0.3944
Pr  0.0000  0.0000  0.1833
Pr  0.0000  0.0000  0.8167
Sm  0.5000  0.5000  0.5000
Sm  0.5000  0.5000  0.7118
Sm  0.5000  0.5000  0.0773
Sm  0.5000  0.5000  0.9227
Sm  0.5000  0.5000  0.2882
Ag  0.0000  0.0000  0.0000

Calculated values
Total energy (eV per cell): -46.0
ΔE_f (eV/atom): -0.039

(10)
Nd2HoAl: relaxed, GGA-PBE.

Lattice parameters (Å, degrees): 3.5759 3.5759 9.2811 90.00 90.00 90.00
Atoms (fractional coordinates):
Al  0.5000  0.5000  0.0000
Ho  0.5000  0.5000  0.5000
Nd  0.0000  0.0000  0.2168
Nd  0.0000  0.0000  0.7832

Calculated values
Total energy (eV per cell): -18.4
ΔE_f (eV/atom): -0.136
Energy relative to the lowest polymorph listed for this composition (eV per atom): 0.041

(11)
AcLa12In4N3: relaxed, GGA-PBE.

Lattice parameters (Å, degrees): 9.1536 9.1536 9.1536 109.47 109.47 109.47
Atoms (fractional coordinates):
La  0.0000  0.2817  0.2817
La  0.2500  0.5000  0.7500
La  0.5000  0.2500  0.7500
Ac  0.0000  0.0000  0.0000
In  0.5000  0.0000  0.0000
N  0.0000  0.5000  0.5000
In  0.0000  0.0000  0.5000
La  0.7500  0.2500  0.5000
La  0.5000  0.7500  0.2500
La  0.7183  0.7183  0.0000
La  0.7183  0.0000  0.7183
N  0.5000  0.0000  0.5000
La  0.0000  0.7183  0.7183
La  0.7500  0.5000  0.2500
In  0.5000  0.5000  0.5000
La  0.2500  0.7500  0.5000
La  0.2817  0.2817  0.0000
In  0.0000  0.5000  0.0000
N  0.5000  0.5000  0.0000
La  0.2817  0.0000  0.2817

Calculated values
Total energy (eV per cell): -108.9
Formation energy (no corrections) (eV per atom): -0.488

(12)
Na5US5: relaxed, GGA-PBE.

Lattice parameters (Å, degrees): 5.4757 7.1739 7.9105 106.90 90.00 112.44
Atoms (fractional coordinates):
S  0.8487  0.6974  0.6910
S  0.8593  0.7186  0.1679
Na  0.6944  0.3888  0.3245
S  0.1407  0.2814  0.8321
Na  0.0000  0.0000  0.5000
Na  0.3169  0.6338  0.1388
S  0.5000  0.0000  0.0000
Na  0.6831  0.3662  0.8612
Na  0.3056  0.6112  0.6755
U  0.0000  0.0000  0.0000
S  0.1513  0.3026  0.3090

Calculated values
Total energy (eV per cell): -52.2
Formation energy (no corrections) (eV per atom): -1.243

(13)
Ti3ZnOs: relaxed, GGA-PBE.

Lattice parameters (Å, degrees): 4.5160 4.5160 4.5160 90.00 90.00 90.00
Atoms (fractional coordinates):
Os  0.5000  0.5000  0.5000
Zn  0.0000  0.0000  0.0000
Ti  0.0000  0.0000  0.5000
Ti  0.5000  0.0000  0.0000
Ti  0.0000  0.5000  0.0000

Calculated values
Total energy (eV per cell): -30.9
ΔE_f (eV/atom): 1.060
Energy relative to the lowest polymorph listed for this composition (eV per atom): 0.557

(14)
SnHg: relaxed, GGA-PBE.

Lattice parameters (Å, degrees): 9.7945 14.3310 7.1127 90.00 90.00 90.00
Atoms (fractional coordinates):
Sn  0.2500  0.8538  0.2500
Hg  0.3504  0.5000  0.5000
Sn  0.5000  0.6038  0.0000
Hg  0.8504  0.5000  0.0000
Sn  0.0000  0.3962  0.5000
Hg  0.1004  0.2500  0.2500
Hg  0.1496  0.0000  0.5000
Sn  0.5000  0.3962  0.0000
Hg  0.1496  0.5000  0.0000
Sn  0.5000  0.8962  0.5000
Sn  0.2500  0.1462  0.7500
Hg  0.1004  0.7500  0.7500
Sn  0.2500  0.3538  0.7500
Sn  0.2500  0.6462  0.2500
Sn  0.7500  0.3538  0.2500
Hg  0.6004  0.2500  0.7500
Sn  0.5000  0.1038  0.5000
Sn  0.7500  0.8538  0.7500
Sn  0.0000  0.6038  0.5000
Sn  0.7500  0.1462  0.2500
Sn  0.7500  0.6462  0.7500
Hg  0.8996  0.2500  0.7500
Hg  0.8996  0.7500  0.2500
Hg  0.6496  0.0000  0.0000
Hg  0.3504  0.0000  0.0000
Hg  0.8504  0.0000  0.5000
Hg  0.3996  0.7500  0.7500
Hg  0.6004  0.7500  0.2500
Hg  0.6496  0.5000  0.5000
Sn  0.0000  0.8962  0.0000
Sn  0.0000  0.1038  0.0000
Hg  0.3996  0.2500  0.2500

Calculated values
Total energy (eV per cell): -65.1
ΔE_f (eV/atom): 0.118

(15)
Ho3Er8Zr: relaxed, GGA-PBE.

Lattice parameters (Å, degrees): 6.9753 9.8342 11.5450 115.13 98.96 134.90
Atoms (fractional coordinates):
Ho  0.5000  0.5000  0.0000
Ho  0.5000  0.0000  0.0000
Er  0.9970  0.1608  0.3249
Er  0.5086  0.8356  0.6721
Er  0.9836  0.6563  0.3289
Er  0.0030  0.8392  0.6751
Er  0.4914  0.6550  0.3279
Ho  0.0000  0.5000  0.0000
Er  0.5086  0.3450  0.6721
Zr  0.0000  0.0000  0.0000
Er  0.0164  0.3437  0.6711
Er  0.4914  0.1644  0.3279

Calculated values
Total energy (eV per cell): -58.3
ΔE_f (eV/atom): 0.040

(16)
CdSiRu2: relaxed, GGA-PBE.

Lattice parameters (Å, degrees): 5.1067 5.1259 2.8379 75.50 86.95 118.91
Atoms (fractional coordinates):
Si  0.0000  0.5000  0.5000
Ru  0.5000  0.0000  0.5000
Ru  0.0000  0.0000  0.0000
Cd  0.5000  0.5000  0.0000

Calculated values
Total energy (eV per cell): -23.6
Formation energy (no corrections) (eV per atom): 0.326

(17)
SrDy2Se4: relaxed, GGA-PBE.

Lattice parameters (Å, degrees): 4.1389 7.0970 14.1115 90.00 90.00 106.95
Atoms (fractional coordinates):
Se  0.5000  0.0000  0.5000
Sr  0.3883  0.7766  0.2500
Dy  0.1344  0.2688  0.0687
Dy  0.8656  0.7312  0.9313
Dy  0.1344  0.2688  0.4313
Se  0.5000  0.0000  0.0000
Se  0.2294  0.4589  0.6155
Se  0.9474  0.8948  0.7500
Se  0.0526  0.1052  0.2500
Se  0.7706  0.5411  0.1155
Sr  0.6117  0.2234  0.7500
Se  0.2294  0.4589  0.8845
Se  0.7706  0.5411  0.3845
Dy  0.8656  0.7312  0.5687

Calculated values
Total energy (eV per cell): -76.9
Formation energy (no corrections) (eV per atom): -1.944
Energy relative to the lowest polymorph listed for this composition (eV per atom): 0.012

(18)
Sm2Al3Au5: relaxed, GGA-PBE.

Lattice parameters (Å, degrees): 6.2209 8.7558 8.7558 76.57 69.19 69.19
Atoms (fractional coordinates):
Al  0.7500  0.0000  0.0000
Au  0.5163  0.2337  0.2337
Al  0.1332  0.2528  0.4807
Au  0.0163  0.2337  0.2337
Au  0.9006  0.9391  0.2597
Al  0.3668  0.5193  0.7472
Al  0.8668  0.7472  0.5193
Au  0.7500  0.5000  0.5000
Sm  0.1340  0.5969  0.1351
Sm  0.3660  0.8649  0.4031
Al  0.6332  0.4807  0.2528
Sm  0.8660  0.4031  0.8649
Au  0.4006  0.2597  0.9391
Sm  0.6340  0.1351  0.5969
Au  0.5994  0.7403  0.0609
Au  0.2500  0.5000  0.5000
Au  0.0994  0.0609  0.7403
Au  0.4837  0.7663  0.7663
Al  0.2500  0.0000  0.0000
Au  0.9837  0.7663  0.7663

Calculated values
Total energy (eV per cell): -87.7
ΔE_f (eV/atom): -0.678
Energy relative to the lowest polymorph listed for this composition (eV per atom): 0.000

(19)
Re2Ru: relaxed, GGA-PBE.

Lattice parameters (Å, degrees): 4.3989 4.7715 8.3369 90.00 90.00 90.00
Atoms (fractional coordinates):
Ru  0.2500  0.8322  0.3328
Re  0.7500  0.1678  0.3324
Ru  0.7500  0.1678  0.6672
Ru  0.7500  0.6678  0.8328
Re  0.7500  0.6678  0.1676
Re  0.2500  0.8322  0.6676
Re  0.2499  0.3334  0.4968
Re  0.7501  0.6666  0.5032
Re  0.2500  0.3322  0.8324
Ru  0.2500  0.3322  0.1672
Re  0.7499  0.1666  0.9968
Re  0.2501  0.8334  0.0032

Calculated values
Total energy (eV per cell): -137.4
ΔE_f (eV/atom): -0.056
Energy relative to the lowest polymorph listed for this composition (eV per atom): 0.010

(20)
Ag2Hg2F5: relaxed, GGA-PBE.

Lattice parameters (Å, degrees): 4.7731 6.1006 7.0992 59.10 90.00 113.03
Atoms (fractional coordinates):
F  0.3350  0.6700  0.8482
F  0.0000  0.0000  0.0000
Ag  0.6057  0.2114  0.5641
F  0.1853  0.3706  0.4369
Ag  0.3943  0.7886  0.4359
F  0.6650  0.3300  0.1518
F  0.8147  0.6294  0.5631
Hg  0.9028  0.8056  0.7980
Hg  0.0972  0.1944  0.2020

Calculated values
Total energy (eV per cell): -25.5
Formation energy (no corrections) (eV per atom): -1.090
Energy relative to the lowest polymorph listed for this composition (eV per atom): 0.034

(21)
Th2Ga3Pd4: relaxed, GGA-PBE.

Lattice parameters (Å, degrees): 5.7801 7.5532 8.4124 90.00 110.09 90.00
Atoms (fractional coordinates):
Pd  0.8129  0.2500  0.1259
Pd  0.6776  0.5214  0.3552
Ga  0.0196  0.7500  0.5391
Pd  0.3129  0.2500  0.1259
Th  0.6105  0.9157  0.2211
Ga  0.5000  0.5000  0.0000
Pd  0.8224  0.0214  0.6448
Th  0.3895  0.0843  0.7789
Th  0.1105  0.5843  0.2211
Pd  0.6871  0.7500  0.8741
Pd  0.3224  0.4786  0.6448
Ga  0.4804  0.2500  0.4609
Ga  0.5196  0.7500  0.5391
Th  0.8895  0.4157  0.7789
Ga  0.0000  0.0000  0.0000
Pd  0.1871  0.7500  0.8741
Ga  0.9804  0.2500  0.4609
Pd  0.1776  0.9786  0.3552

Calculated values
Total energy (eV per cell): -103.4
ΔE_f (eV/atom): -0.780